DFT (PBE) results for crystalline TbDy4Pu at its relaxed geometry.

Cell lengths 6.097, 10.538, 6.076 Å; angles 90.00, 109.55, 90.00 degrees
Space group C2/m (No. 12)
One atom of each set of equivalent atoms:
Tb 0.000 0.000 0.000 [2 per cell]
Dy 0.000 0.167 0.500 [4 per cell]
Dy 0.000 0.337 0.000 [4 per cell]
Pu 0.000 0.500 0.500 [2 per cell]

Summary:
Raw total energy: -6.157 eV per atom

DFT (PBE) results for crystalline Tb8Dy6Pu at its relaxed geometry.

Cell lengths 9.0052, 9.0052, 20.3574 Å; angles 90.00, 90.00, 120.00 degrees
Space group R-3 (No. 148, hexagonal axes)
One atom of each set of equivalent atoms:
Tb 0.0000 0.0000 0.0766 [6 per cell]
Tb 0.0825 0.5575 0.3063 [18 per cell]
Dy 0.0688 0.2518 0.2064 [18 per cell]
Pu 0.0000 0.0000 0.5000 [3 per cell]

Summary:
Raw total energy: -5.150 eV per atom

DFT (PBE) results for crystalline Tb7Dy12Pu at its relaxed geometry.

Cell lengths 11.263, 11.263, 11.263 Å; angles 90.00, 90.00, 90.00 degrees
Space group Im-3m (No. 229)
One atom of each set of equivalent atoms:
Tb 0.000 0.000 0.500 [6 per cell]
Tb 0.250 0.250 0.250 [8 per cell]
Dy 0.000 0.249 0.249 [24 per cell]
Pu 0.000 0.000 0.000 [2 per cell]

Summary:
Raw total energy: -4.369 eV per atom
Excess energy over the best structure of this formula in the dataset: 618 meV/atom

DFT (PBE) results for crystalline Tb4Dy9Pu at its relaxed geometry.

Cell lengths 9.7013, 9.7013, 10.9971 Å; angles 90.00, 90.00, 120.00 degrees
Space group P6_3/mmc (No. 194)
One atom of each set of equivalent atoms:
Tb 0.0000 0.0000 0.0000 [2 per cell]
Tb 0.1134 0.2268 0.2500 [6 per cell]
Dy 0.0736 0.5368 0.2500 [6 per cell]
Dy 0.2098 0.4196 0.5330 [12 per cell]
Pu 0.3333 0.6667 0.7500 [2 per cell]

Summary:
Raw total energy: -5.117 eV per atom

DFT (PBE) results for crystalline Tb6Dy2Pu at its relaxed geometry.

Cell lengths 5.846, 10.076, 11.116 Å; angles 90.00, 119.68, 90.00 degrees
Space group P2_1/c (No. 14)
One atom of each set of equivalent atoms:
Tb 0.096 0.168 0.013 [4 per cell]
Tb 0.257 0.745 0.826 [4 per cell]
Tb 0.391 0.079 0.827 [4 per cell]
Dy 0.344 0.093 0.353 [4 per cell]
Pu 0.000 0.000 0.500 [2 per cell]

Summary:
Raw total energy: -5.548 eV per atom

DFT (PBE) results for crystalline Tb5Dy6Pu at its relaxed geometry.

Cell lengths 6.128, 10.618, 11.698 Å; angles 90.00, 100.11, 90.00 degrees
Space group C2/m (No. 12)
One atom of each set of equivalent atoms:
Tb 0.000 0.000 0.000 [2 per cell]
Tb 0.000 0.167 0.500 [4 per cell]
Tb 0.000 0.333 0.000 [4 per cell]
Dy 0.247 0.500 0.252 [4 per cell]
Dy 0.248 0.335 0.748 [8 per cell]
Pu 0.000 0.500 0.500 [2 per cell]

Summary:
Raw total energy: -5.383 eV per atom